1.
A geometry-optimized GaAgGe2 structure, computed with PBE-GGA.

Results
VASP energy = -3.57 eV/atom

Lattice parameters (Å, degrees): 4.7528 4.7528 4.7528 60.00 60.00 60.00
Closest atoms and distances in Å follow each position.
Sites, in units of the cell vectors:
1 Ag 0.5000 0.5000 0.5000  4 Ge 2.91, 4 Ga 2.91
2 Ga 0.7500 0.7500 0.7500  4 Ag 2.91, 4 Ge 2.91
3 Ge 0.2500 0.2500 0.2500  4 Ag 2.91, 4 Ge 2.91
4 Ge 0.0000 0.0000 0.0000  4 Ga 2.91, 4 Ge 2.91

2.
A geometry-optimized LiBePd2 structure, computed with PBE-GGA.

Results
VASP energy = -4.32 eV/atom

Lattice parameters (Å, degrees): 3.9116 3.9116 8.5332 90.00 90.00 120.00
Closest atoms and distances in Å follow each position.
Sites, in units of the cell vectors:
1 Pd 0.6667 0.3333 0.4126  3 Be 2.38, 3 Li 2.65
2 Pd 0.6667 0.3333 0.0874  3 Be 2.38, 3 Li 2.65
3 Pd 0.3333 0.6667 0.5874  3 Be 2.38, 3 Li 2.65
4 Pd 0.3333 0.6667 0.9126  3 Be 2.38, 3 Li 2.65
5 Li 0.6667 0.3333 0.7500  8 Pd 2.65-2.88
6 Li 0.3333 0.6667 0.2500  8 Pd 2.65-2.88
7 Be 0.0000 0.0000 0.0000  6 Pd 2.38
8 Be 0.0000 0.0000 0.5000  6 Pd 2.38

3.
A geometry-optimized GdHoGa2Fe4 structure, computed with PBE-GGA.

Results
size of the total moment = 7.115 μB per formula unit
VASP energy = -6.24 eV/atom

Lattice parameters (Å, degrees): 4.1903 4.1903 9.3244 90.00 90.00 120.00
Closest atoms and distances in Å follow each position.
Sites, in units of the cell vectors:
1 Ho 0.3333 0.6667 0.0000  2 Fe 2.69
2 Fe 0.0000 0.0000 0.7941  3 Ga 2.45, 3 Fe 2.54, 1 Gd 2.74
3 Fe 0.3333 0.6667 0.7111  3 Ga 2.45, 3 Fe 2.54, 1 Ho 2.69
4 Fe 0.0000 0.0000 0.2059  3 Ga 2.45, 3 Fe 2.54, 1 Gd 2.74
5 Fe 0.3333 0.6667 0.2889  3 Ga 2.45, 3 Fe 2.54, 1 Ho 2.69
6 Ga 0.6667 0.3333 0.7518  6 Fe 2.45
7 Ga 0.6667 0.3333 0.2482  6 Fe 2.45
8 Gd 0.0000 0.0000 0.5000  2 Fe 2.74

4.
A geometry-optimized RbReHg3Te4 structure, computed with PBE-GGA.

Results
size of the total moment = 0.002 μB per formula unit
VASP energy = -3.01 eV/atom

Lattice parameters (Å, degrees): 7.7278 7.7278 7.7278 90.00 90.00 90.00
Closest atoms and distances in Å follow each position.
Sites, in units of the cell vectors:
1 Te 0.6867 0.6867 0.3133  1 Re 2.50
2 Te 0.6867 0.3133 0.6867  1 Re 2.50
3 Te 0.3133 0.3133 0.3133  1 Re 2.50
4 Te 0.3133 0.6867 0.6867  1 Re 2.50
5 Hg 0.5000 0.5000 0.0000  4 Te 3.17
6 Hg 0.0000 0.5000 0.5000  4 Te 3.17
7 Hg 0.5000 0.0000 0.5000  4 Te 3.17
8 Rb 0.0000 0.0000 0.0000  4 Te 4.19
9 Re 0.5000 0.5000 0.5000  4 Te 2.50

5.
A geometry-optimized HfTaHg2 structure, computed with PBE-GGA.

Results
size of the total moment = 1.505 μB per formula unit
calculated formation energy = 601 meV per atom

Lattice parameters (Å, degrees): 4.8962 4.8962 4.8962 60.00 60.00 60.00
Closest atoms and distances in Å follow each position.
Sites, in units of the cell vectors:
1 Hf 0.2500 0.2500 0.2500  4 Hg 3.00, 4 Ta 3.00
2 Hg 0.0000 0.0000 0.0000  4 Hg 3.00, 4 Hf 3.00
3 Hg 0.7500 0.7500 0.7500  4 Hg 3.00, 4 Ta 3.00
4 Ta 0.5000 0.5000 0.5000  4 Hg 3.00, 4 Hf 3.00

6.
A geometry-optimized PmSmGa4 structure, computed with PBE-GGA.

Results
size of the total moment = 0.016 μB per formula unit
VASP energy = -4.28 eV/atom

Lattice parameters (Å, degrees): 4.2554 4.2554 8.4582 90.00 90.00 120.00
Closest atoms and distances in Å follow each position.
Sites, in units of the cell vectors:
1 Ga 0.6667 0.3333 0.2488  3 Ga 2.46
2 Ga 0.3333 0.6667 0.2488  3 Ga 2.46
3 Ga 0.6667 0.3333 0.7512  3 Ga 2.46
4 Ga 0.3333 0.6667 0.7512  3 Ga 2.46
5 Sm 0.0000 0.0000 0.0000  12 Ga 3.23
6 Pm 0.0000 0.0000 0.5000  12 Ga 3.25

7.
A geometry-optimized RbPrHgS3 structure, computed with PBE-GGA.

Results
size of the total moment = 0.001 μB per formula unit
VASP energy = -4.28 eV/atom

Lattice parameters (Å, degrees): 8.4301 4.2611 10.6643 90.00 107.51 90.00
Closest atoms and distances in Å follow each position.
Sites, in units of the cell vectors:
1 S 0.5689 0.2500 0.8447  1 Hg 2.51
2 S 0.2639 0.2500 0.4415  3 Hg 2.60-2.86
3 S 0.0350 0.2500 0.8612  3 Pr 2.77-2.87
4 S 0.7361 0.7500 0.5585  3 Hg 2.60-2.86
5 S 0.9650 0.7500 0.1388  3 Pr 2.77-2.87
6 S 0.4311 0.7500 0.1553  1 Hg 2.51
7 Rb 0.7617 0.2500 0.2818  6 S 3.37-3.70
8 Rb 0.2383 0.7500 0.7182  6 S 3.37-3.70
9 Pr 0.1892 0.2500 0.1303  5 S 2.77-2.91
10 Pr 0.8108 0.7500 0.8697  5 S 2.77-2.91
11 Hg 0.5965 0.2500 0.6166  3 S 2.51-2.60
12 Hg 0.4035 0.7500 0.3834  3 S 2.51-2.60

8.
A geometry-optimized CsAcSm structure, computed with PBE-GGA.

Results
size of the total moment = 0.020 μB per formula unit
energy above the most stable polymorph in this dataset = 0.019 eV/atom

Lattice parameters (Å, degrees): 5.8459 5.8459 5.8459 60.00 60.00 60.00
Closest atoms and distances in Å follow each position.
Sites, in units of the cell vectors:
1 Sm 0.5000 0.5000 0.5000  4 Cs 3.58
2 Cs 0.7500 0.7500 0.7500  4 Ac 3.58, 4 Sm 3.58
3 Ac 0.0000 0.0000 0.0000  4 Cs 3.58

9.
A geometry-optimized TbCuB structure, computed with PBE-GGA.

Results
size of the total moment = 0.619 μB per formula unit
VASP energy = -4.89 eV/atom

Lattice parameters (Å, degrees): 4.1310 4.1310 4.1310 60.00 60.00 60.00
Closest atoms and distances in Å follow each position.
Sites, in units of the cell vectors:
1 Cu 0.2500 0.2500 0.2500  4 B 2.53
2 Tb 0.7500 0.7500 0.7500  4 B 2.53
3 B 0.0000 0.0000 0.0000  4 Cu 2.53, 4 Tb 2.53

10.
A geometry-optimized TmAgPbSe3 structure, computed with PBE-GGA.

Results
size of the total moment = 0.001 μB per formula unit
energy above the most stable polymorph in this dataset = 0.006 eV/atom

Lattice parameters (Å, degrees): 9.2218 9.2218 8.6570 102.68 102.68 25.53
Closest atoms and distances in Å follow each position.
Sites, in units of the cell vectors:
1 Pb 0.8673 0.8673 0.9273  7 Se 3.09-3.25
2 Pb 0.1327 0.1327 0.0727  7 Se 3.09-3.25
3 Tm 0.8353 0.8353 0.4126  6 Se 2.85-2.89
4 Tm 0.1647 0.1647 0.5874  6 Se 2.85-2.89
5 Se 0.0000 0.0000 0.5000  4 Ag 2.72, 2 Tm 2.89
6 Se 0.6841 0.6841 0.8234  1 Ag 2.72, 2 Tm 2.85
7 Se 0.3159 0.3159 0.1766  1 Ag 2.72, 2 Tm 2.85
8 Se 0.6724 0.6724 0.3612  3 Tm 2.85-2.86, 2 Pb 3.18
9 Se 0.3276 0.3276 0.6388  3 Tm 2.85-2.86, 2 Pb 3.18
10 Se 0.5000 0.5000 0.0000  2 Ag 2.66
11 Ag 0.5299 0.5299 0.7127  4 Se 2.66-2.72
12 Ag 0.4701 0.4701 0.2873  4 Se 2.66-2.72

11.
A geometry-optimized NdScHg structure, computed with PBE-GGA.

Results
size of the total moment = 0.039 μB per formula unit
energy above the most stable polymorph in this dataset = 0.463 eV/atom
calculated formation energy = 406 meV per atom

Lattice parameters (Å, degrees): 5.0201 5.0201 5.0201 60.00 60.00 60.00
Closest atoms and distances in Å follow each position.
Sites, in units of the cell vectors:
1 Nd 0.0000 0.0000 0.0000  4 Sc 3.07, 4 Hg 3.07
2 Hg 0.2500 0.2500 0.2500  4 Nd 3.07
3 Sc 0.7500 0.7500 0.7500  4 Nd 3.07

12.
A geometry-optimized LiSmGe structure, computed with PBE-GGA.

Results
size of the total moment = 0.001 μB per formula unit
VASP energy = -4.39 eV/atom

Lattice parameters (Å, degrees): 5.0302 5.0302 6.0756 90.00 90.00 120.00
Closest atoms and distances in Å follow each position.
Sites, in units of the cell vectors:
1 Sm 0.3333 0.6667 0.7500  5 Ge 2.90-3.04
2 Sm 0.6667 0.3333 0.2500  5 Ge 2.90-3.04
3 Ge 0.6667 0.3333 0.7500  5 Sm 2.90-3.04
4 Ge 0.3333 0.6667 0.2500  5 Sm 2.90-3.04
5 Li 0.0000 0.0000 0.5000  2 Li 3.04, 6 Sm 3.28, 6 Ge 3.28
6 Li 0.0000 0.0000 0.0000  2 Li 3.04, 6 Ge 3.28, 6 Sm 3.28

13.
A geometry-optimized PrNdNi2Bi4 structure, computed with PBE-GGA.

Results
size of the total moment = 0.001 μB per formula unit
VASP energy = -5.13 eV/atom

Lattice parameters (Å, degrees): 4.5941 4.5941 9.7283 90.00 90.00 90.00
Closest atoms and distances in Å follow each position.
Sites, in units of the cell vectors:
1 Bi 0.0000 0.0000 0.8584  4 Ni 2.68
2 Bi 0.5000 0.5000 0.1433  4 Ni 2.68
3 Bi 0.5000 0.0000 0.4986  4 Bi 3.25, 2 Nd 3.50, 2 Pr 3.51
4 Bi 0.0000 0.5000 0.4986  4 Bi 3.25, 2 Nd 3.50, 2 Pr 3.51
5 Ni 0.0000 0.5000 0.0010  4 Bi 2.68
6 Ni 0.5000 0.0000 0.0010  4 Bi 2.68
7 Nd 0.0000 0.0000 0.2276  4 Ni 3.18, 8 Bi 3.35-3.50
8 Pr 0.5000 0.5000 0.7713  4 Ni 3.20, 8 Bi 3.36-3.51